# 1
First-principles (PBE) data for an optimized crystal structure of Ba2InPb, as listed in Alexandria via LeMat-Bulk.

Cell lengths 8.6049, 8.6049, 8.6049 Å; angles 90.00, 90.00, 90.00 degrees
Closest atoms and distances in Å follow each position.
Space group Fm-3m (No. 225)
Inequivalent atoms, fractional coordinates:
Ba  0.2500  0.2500  0.2500 x8  4 In 3.73, 4 Pb 3.73
In  0.0000  0.0000  0.0000 x4  8 Ba 3.73
Pb  0.0000  0.0000  0.5000 x4  8 Ba 3.73

Summary:
The density is 6.220 g cm⁻³. For the energy above the lowest structure with this stoichiometry, the calculation gives 0.057 eV/atom. The formation energy comes out at -449 meV per atom.

=====

# 2
First-principles (PBE) data for an optimized crystal structure of Mg2TcRhBr, as listed in Alexandria via LeMat-Bulk.

Cell lengths 4.9691, 4.9691, 4.8910 Å; angles 90.00, 90.00, 90.00 degrees
Closest atoms and distances in Å follow each position.
Space group P4/mmm (No. 123)
Inequivalent atoms, fractional coordinates:
Mg  0.0000  0.5000  0.0000 x2  2 Rh 2.48
Tc  0.0000  0.0000  0.5000 x1  8 Mg 3.49, 4 Br 3.51
Rh  0.5000  0.5000  0.0000 x1  2 Br 2.45, 4 Mg 2.48
Br  0.5000  0.5000  0.5000 x1  2 Rh 2.45

Summary:
The density is 4.529 g cm⁻³. For the formation energy without anion corrections, the calculation gives 881.7 meV/atom.

=====

# 3
First-principles (PBE) data for an optimized crystal structure of ErNi6Ge6, as listed in Alexandria via LeMat-Bulk.

Cell lengths 5.1550, 7.9152, 8.8902 Å; angles 90.00, 90.00, 90.00 degrees
Closest atoms and distances in Å follow each position.
Space group Immm (No. 71)
Inequivalent atoms, fractional coordinates:
Er  0.0000  0.0000  0.0000 x2  8 Ge 2.73-2.99
Ni  0.0000  0.2476  0.5000 x4  6 Ge 2.44-2.68, 4 Ni 2.57
Ni  0.2500  0.2500  0.2500 x8  6 Ge 2.47-2.68, 4 Ni 2.57-2.58
Ge  0.0000  0.0000  0.3364 x4  6 Ni 2.44-2.48
Ge  0.0000  0.3450  0.0000 x4  1 Ge 2.45, 6 Ni 2.68, 1 Er 2.73
Ge  0.0000  0.5000  0.3312 x4  6 Ni 2.47-2.50

Summary:
The density is 8.746 g cm⁻³. The formation energy comes out at -411 meV per atom.

=====

# 4
First-principles (PBE) data for an optimized crystal structure of AcCdBi3, as listed in Alexandria via LeMat-Bulk.

Cell lengths 14.5677, 6.6800, 6.7456 Å; angles 90.00, 90.00, 90.00 degrees
Closest atoms and distances in Å follow each position.
Space group Pbcm (No. 57)
Inequivalent atoms, fractional coordinates:
Ac  0.1838  0.0088  0.2500 x4  9 Bi 3.42-3.70, 2 Cd 3.78
Cd  0.3877  0.2500  0.0000 x4  6 Bi 3.20-3.36, 2 Cd 3.37
Bi  0.0009  0.7500  0.0000 x4  4 Bi 3.34-3.37, 4 Ac 3.56-3.60
Bi  0.2464  0.5160  0.2500 x4  2 Cd 3.20, 1 Bi 3.29, 4 Ac 3.42-3.51
Bi  0.4230  0.6779  0.7500 x4  4 Cd 3.27-3.36, 3 Bi 3.29-3.51

Summary:
The density is 9.778 g cm⁻³. For the energy above the lowest structure with this stoichiometry, the calculation gives 0.000 eV/atom. The formation energy comes out at -372 meV per atom.

=====

# 5
First-principles (PBE) data for an optimized crystal structure of TeS2F, as listed in Alexandria via LeMat-Bulk.

Cell lengths 6.4470, 6.4470, 6.4470 Å; angles 90.00, 90.00, 90.00 degrees
Closest atoms and distances in Å follow each position.
Space group Fm-3m (No. 225)
Inequivalent atoms, fractional coordinates:
Te  0.0000  0.0000  0.0000 x4  8 S 2.79
S  0.2500  0.2500  0.2500 x8  4 F 2.79, 4 Te 2.79
F  0.0000  0.0000  0.5000 x4  8 S 2.79

Summary:
The density is 5.223 g cm⁻³. For the energy above the lowest structure with this stoichiometry, the calculation gives 0.351 eV/atom. For the formation energy without anion corrections, the calculation gives 37.1 meV/atom.

=====

# 6
First-principles (PBE) data for an optimized crystal structure of NdY2HfAs4, as listed in Alexandria via LeMat-Bulk.

Cell lengths 7.0547, 4.0759, 7.0715 Å; angles 90.00, 109.24, 90.00 degrees
Closest atoms and distances in Å follow each position.
Space group P2/m (No. 10)
Inequivalent atoms, fractional coordinates:
Nd  0.0000  0.0000  0.0000 x1  6 As 2.92
Y  0.5000  0.0000  0.5000 x1  6 As 2.85
Y  0.5000  0.5000  0.0000 x1  6 As 2.97
Hf  0.0000  0.5000  0.5000 x1  6 As 2.79-2.81
As  0.2392  0.0000  0.7331 x2  2 Hf 2.81, 3 Y 2.85-2.97, 1 Nd 2.92
As  0.2487  0.5000  0.2637 x2  1 Hf 2.79, 3 Y 2.85-2.97, 2 Nd 2.92

Summary:
The density is 6.922 g cm⁻³. The formation energy comes out at -1379 meV per atom.

=====

# 7
First-principles (PBE) data for an optimized crystal structure of Ti3TeO, as listed in Alexandria via LeMat-Bulk.

Cell lengths 5.0764, 5.0764, 5.0764 Å; angles 90.00, 90.00, 90.00 degrees
Closest atoms and distances in Å follow each position.
Space group Pm-3m (No. 221)
Inequivalent atoms, fractional coordinates:
Ti  0.0000  0.0000  0.5000 x3  2 Te 2.54
Te  0.0000  0.0000  0.0000 x1  6 Ti 2.54
O  0.5000  0.5000  0.5000 x1  12 Ti 3.59

Summary:
The density is 3.646 g cm⁻³. For the energy above the lowest structure with this stoichiometry, the calculation gives 2.257 eV/atom. For the formation energy without anion corrections, the calculation gives 1165.5 meV/atom.

=====

# 8
First-principles (PBE) data for an optimized crystal structure of Zr4RuRh2, as listed in Alexandria via LeMat-Bulk.

Cell lengths 4.6100, 4.6100, 22.4921 Å; angles 90.00, 90.00, 120.00 degrees
Closest atoms and distances in Å follow each position.
Space group R-3m (No. 166, hexagonal axes)
Inequivalent atoms, fractional coordinates:
Zr  0.0000  0.0000  0.1229 x6  4 Rh 2.80-2.84, 3 Ru 2.84
Zr  0.0000  0.0000  0.3736 x6  4 Rh 2.79-2.84, 1 Ru 2.84
Ru  0.0000  0.0000  0.5000 x3  8 Zr 2.84
Rh  0.0000  0.0000  0.2494 x6  8 Zr 2.79-2.84

Summary:
The density is 8.084 g cm⁻³. The formation energy comes out at -565 meV per atom.

=====

# 9
First-principles (PBE) data for an optimized crystal structure of VReRu3, as listed in Alexandria via LeMat-Bulk.

Cell lengths 4.6461, 4.6461, 4.6461 Å; angles 90.00, 90.00, 90.00 degrees
Closest atoms and distances in Å follow each position.
Space group Pm-3m (No. 221)
Inequivalent atoms, fractional coordinates:
V  0.0000  0.0000  0.0000 x1  12 Ru 3.29
Re  0.5000  0.5000  0.5000 x1  6 Ru 2.32
Ru  0.0000  0.5000  0.5000 x3  2 Re 2.32

Summary:
The density is 8.947 g cm⁻³. For the energy above the lowest structure with this stoichiometry, the calculation gives 1.612 eV/atom. The formation energy comes out at 1625 meV per atom.

=====

# 10
First-principles (PBE) data for an optimized crystal structure of Ca3PuU3N8, as listed in Alexandria via LeMat-Bulk.

Cell lengths 6.9855, 6.9855, 17.0405 Å; angles 90.00, 90.00, 120.00 degrees
Closest atoms and distances in Å follow each position.
Space group R-3m (No. 166, hexagonal axes)
Inequivalent atoms, fractional coordinates:
Ca  0.0000  0.5000  0.0000 x9  6 N 2.55-2.69
Pu  0.0000  0.0000  0.5000 x3  6 N 2.29
U  0.0000  0.5000  0.5000 x9  6 N 2.28-2.39
N  0.0000  0.0000  0.2416 x6  3 U 2.39, 3 Ca 2.55
N  0.0023  0.5011  0.7706 x18  2 U 2.28, 1 Pu 2.29

Summary:
The density is 8.235 g cm⁻³. For the formation energy without anion corrections, the calculation gives -1194.3 meV/atom.

=====

# 11
First-principles (PBE) data for an optimized crystal structure of BC2, as listed in Alexandria via LeMat-Bulk.

Cell lengths 2.6296, 2.6296, 14.4727 Å; angles 90.00, 90.00, 120.00 degrees
Closest atoms and distances in Å follow each position.
Space group P3m1 (No. 156)
Inequivalent atoms, fractional coordinates:
B  0.0000  0.0000  0.0000 x1  4 C 1.66-1.67
B  0.0000  0.0000  0.4408 x1  4 C 1.62-1.64
B  0.3333  0.6667  0.6029 x1  3 C 1.53
B  0.6667  0.3333  0.8731 x1  3 C 1.53
C  0.0000  0.0000  0.3289 x1  3 C 1.60, 1 B 1.62
C  0.0000  0.0000  0.8848 x1  4 B 1.53-1.67
C  0.3333  0.6667  0.0464 x1  1 C 1.49, 3 B 1.66
C  0.3333  0.6667  0.1497 x1  4 C 1.49-1.61
C  0.3333  0.6667  0.4844 x1  4 B 1.64-1.72
C  0.6667  0.3333  0.1872 x1  4 C 1.54-1.61
C  0.6667  0.3333  0.2933 x1  4 C 1.54-1.60
C  0.6667  0.3333  0.6149 x1  3 B 1.53

Summary:
The density is 2.670 g cm⁻³. For the energy above the lowest structure with this stoichiometry, the calculation gives 0.128 eV/atom. The formation energy comes out at 368 meV per atom.

=====

# 12
First-principles (PBE) data for an optimized crystal structure of ZrTe, as listed in Alexandria via LeMat-Bulk.

Cell lengths 11.0886, 11.0886, 3.8851 Å; angles 90.00, 90.00, 90.00 degrees
Closest atoms and distances in Å follow each position.
Space group I4/m (No. 87)
Inequivalent atoms, fractional coordinates:
Zr  0.1009  0.6345  0.0000 x8  4 Te 2.89-3.11
Te  0.1061  0.2072  0.0000 x8  4 Zr 2.89-3.11

Summary:
The density is 6.085 g cm⁻³. For the formation energy without anion corrections, the calculation gives -572.0 meV/atom.